# 1
Th2MnGe4Ir3: relaxed, PBE.

Values from the calculation:
Its space group is P-4m2, No. 115. For the formation energy, the calculation gives -7.221 eV per formula unit. Its total moment is 2.59 μB/cell.

Unit cell a=4.2278 b=4.2278 c=10.4235 alpha=90.00 beta=90.00 gamma=90.00
Fractional coordinates of all 10 atoms:
Th 0.5000 0.0000 0.2458
Th 0.0000 0.5000 0.7542
Mn 0.5000 0.5000 0.5000
Ge 0.5000 0.5000 0.0000
Ge 0.0000 0.0000 0.0000
Ge 0.5000 0.0000 0.6333
Ge 0.0000 0.5000 0.3667
Ir 0.0000 0.0000 0.5000
Ir 0.5000 0.0000 0.8707
Ir 0.0000 0.5000 0.1293



# 2
UGaH: relaxed, PBE.

Values from the calculation:
Its space group is I4mm, No. 107. Its total moment is 2.52 μB/cell.

Unit cell a=2.9226 b=2.9226 c=5.8409 alpha=104.49 beta=104.49 gamma=90.00
Fractional coordinates of all 3 atoms:
H 0.0369 0.0369 0.0737
U 0.6228 0.6228 0.2456
Ga 0.3403 0.3403 0.6806



# 3
YAl2Sb: relaxed, PBE.

Values from the calculation:
Its space group is I-4m2, No. 119. Its total moment is 0.00 μB/cell.

Unit cell a=5.6458 b=5.6458 c=4.2943 alpha=67.65 beta=67.65 gamma=44.60
Fractional coordinates of all 4 atoms:
Y 0.2501 0.2501 0.2501
Sb 0.5000 0.5000 0.4998
Al 0.0001 0.0001 0.9996
Al 0.7498 0.7498 0.7505



# 4
LaDyTmHg: relaxed, PBE.

Values from the calculation:
Its space group is P4mm, No. 99. For the formation energy, the calculation gives -0.898 eV per formula unit. Its total moment is 0.00 μB/cell.

Unit cell a=3.6539 b=3.6539 c=8.8887 alpha=90.00 beta=90.00 gamma=90.00
Fractional coordinates of all 4 atoms:
La 0.0000 0.0000 0.0741
Dy 0.5000 0.5000 0.7842
Tm 0.5000 0.5000 0.3604
Hg 0.0000 0.0000 0.5660



# 5
CdHPb2O: relaxed, PBE.

Values from the calculation:
Its space group is P4/mmm, No. 123. Its total moment is 0.00 μB/cell.

Unit cell a=5.8001 b=5.8001 c=2.9210 alpha=90.00 beta=90.00 gamma=90.00
Fractional coordinates of all 5 atoms:
Pb 0.0000 0.5000 0.0000
Pb 0.5000 0.0000 0.0000
H 0.0000 0.0000 0.0000
O 0.0000 0.0000 0.5000
Cd 0.5000 0.5000 0.5000



# 6
Y2GaSn: relaxed, PBE.

Values from the calculation:
Its space group is R-3m, No. 166. For the formation energy, the calculation gives -1.995 eV per formula unit. Its total moment is 0.00 μB/cell.

Unit cell a=3.7311 b=3.7311 c=9.2138 alpha=78.32 beta=78.32 gamma=60.00
Fractional coordinates of all 4 atoms:
Y 0.2564 0.2564 0.2307
Y 0.7436 0.7436 0.7693
Sn 0.5000 0.5000 0.5000
Ga 0.0000 0.0000 0.0000



# 7
Hf4ZrRe: relaxed, PBE.

Values from the calculation:
Its space group is C2/m, No. 12. For the formation energy, the calculation gives -0.588 eV per formula unit. Its total moment is 0.00 μB/cell.

Unit cell a=4.8180 b=5.7429 c=5.8491 alpha=62.31 beta=65.68 gamma=65.20
Fractional coordinates of all 6 atoms:
Hf 0.6477 0.0053 0.6994
Hf 0.3523 0.9947 0.3006
Hf 0.7039 0.4399 0.1523
Hf 0.2961 0.5601 0.8477
Zr 0.0000 0.5000 0.5000
Re 0.0000 0.0000 0.0000



Let's list total energy in order: -0.2803; -0.2121; -0.1809; -0.1397; -0.1198; -0.2017; -0.3761 Ha/atom.